[1]
# LuUSe2

A relaxed structure of LuUSe2 (PBE, the Alexandria database).

POSCAR file:
```
LuUSe2
1.0
3.9044 0.0000 0.0000
1.9522 3.3813 0.0000
1.9522 1.1271 6.9747
U Lu Se
1 1 2
Direct
0.0000 0.0000 0.0000
0.5000 0.5000 0.5000
0.2455 0.2455 0.2636
0.7545 0.7545 0.7364
```

- total magnetic moment (μB/cell) = 2.9
- E_form (uncorrected) (eV/atom) = -1.3015
- VASP energy (eV per atom) = -7.00
- SG = No. 166


[2]
# Lu2WSe

A relaxed structure of Lu2WSe (PBE, the Alexandria database).

POSCAR file:
```
Lu2WSe
1.0
3.3529 0.0000 0.0000
1.6764 2.9037 0.0000
1.6764 0.9679 9.4259
Lu Se W
2 1 1
Direct
0.9025 0.9025 0.2925
0.0975 0.0975 0.7075
0.5000 0.5000 0.5000
0.0000 0.0000 0.0000
```

- total magnetic moment (μB/cell) = 0.0
- E_form (uncorrected) (eV/atom) = 0.2362
- VASP energy (eV per atom) = -6.13
- SG = No. 166


[3]
# YLu2Se

A relaxed structure of YLu2Se (PBE, the Alexandria database).

POSCAR file:
```
YLu2Se
1.0
-3.1883 1.5102 0.7909
-2.7611 -2.0681 1.0819
0.9948 0.9668 10.4279
Se Lu Y
1 2 1
Direct
0.5000 0.5000 0.5000
0.1079 0.1079 0.6764
0.8921 0.8921 0.3236
0.0000 0.0000 0.0000
```

- total magnetic moment (μB/cell) = 0.5
- E_form (uncorrected) (eV/atom) = -0.4847
- VASP energy (eV per atom) = -5.23
- SG = No. 166


[4]
# YbLu2Se4

A relaxed structure of YbLu2Se4 (PBE, the Alexandria database).

POSCAR file:
```
YbLu2Se4
1.0
-0.9836 -0.8097 3.8459
6.6119 -1.4863 1.3782
3.2115 6.0127 2.0873
Yb Se Lu
1 4 2
Direct
0.0000 0.5000 0.5000
0.5000 0.2407 0.7590
0.5000 0.7593 0.2410
0.0000 0.7424 0.7688
0.0000 0.2576 0.2312
0.5000 0.5000 0.0000
0.0000 0.0000 0.0000
```

- total magnetic moment (μB/cell) = 0.3
- E_form (uncorrected) (eV/atom) = -1.8903
- VASP energy (eV per atom) = -5.39
- SG = No. 10